An optimized crystal structure of SiH3Br, computed with PBEsol.

POSCAR file:
```
SiH3Br
1.0
3.7691 0.0000 0.0000
0.0000 3.7691 0.0000
0.0000 0.0000 3.7691
Si H Br
1 3 1
Cartesian
0.0000 0.0000 0.0000
0.0000 1.8845 1.8845
1.8845 0.0000 1.8845
1.8845 1.8845 0.0000
1.8845 1.8845 1.8845
```

Calculated values
DOS(E_F): 1.66 states/eV/cell
calculated volume: 10.709 Å³ per atom
raw total energy: -11.46 eV per cell